(1)
Material: CrMo3
Method: DFT, SCAN
State: single point on PBEsol structure

abc: 4.3218 5.3057 5.3057
angles: 109.63 90.00 90.00
Each line ends with the local moment (μB).
Element x y z (fractional)
Mo1 0.7500 0.3790 0.1304  -0.40
Mo2 0.2500 0.6210 0.8696  -0.40
Mo3 0.7500 0.8730 0.1270  0.18
Mo4 0.2500 0.1270 0.8730  0.18
Mo5 0.7500 0.8696 0.6210  -0.40
Mo6 0.2500 0.1304 0.3790  -0.40
Cr1 0.7500 0.3773 0.6227  0.87
Cr2 0.2500 0.6227 0.3773  0.87

## Properties
Its formation energy is 0.06 eV per atom. As for the crystal system: orthorhombic. The density of states at the Fermi level comes out at 3.667 states/eV per cell.

=====

(2)
Material: CdCu2Tc
Method: DFT, SCAN
State: single point on PBEsol structure

abc: 3.5775 3.9467 3.9467
angles: 90.00 90.00 90.00
Element x y z (fractional)
Tc1 0.5000 0.5000 0.5000
Cd1 0.5000 0.0000 0.0000
Cu1 0.0000 0.5000 0.0000
Cu2 0.0000 0.0000 0.5000

## Properties
Its formation energy is 0.40 eV per atom. As for the crystal system: tetragonal. The density of states at the Fermi level comes out at 2.218 states/eV per cell.

=====

(3)
Material: NiBiNF2
Method: DFT, SCAN
State: single point on PBEsol structure

abc: 3.8782 3.8782 3.9477
angles: 90.00 90.00 90.00
Each line ends with the local moment (μB).
Element x y z (fractional)
N1 0.0000 0.0000 0.5000  -0.04
Bi1 0.5000 0.5000 0.5000  0.07
F1 0.0000 0.5000 0.0000  -0.06
F2 0.5000 0.0000 0.0000  -0.06
Ni1 0.0000 0.0000 0.0000  -1.54

## Properties
As for the crystal system: tetragonal. As for the polymorph energy (0 for the lowest one): 0.000 eV/atom. The density of states at the Fermi level comes out at 0.898 states/eV per cell.

=====

(4)
Material: Y2CuTe
Method: DFT, SCAN
State: single point on PBEsol structure

abc: 4.7151 4.7622 5.2810
angles: 116.80 116.51 90.00
Element x y z (fractional)
Y1 0.7505 0.7505 0.5011
Y2 0.2495 0.2495 0.4989
Te1 0.0000 0.5000 0.0000
Cu1 0.5000 0.0000 0.0000

## Properties
As for the crystal system: orthorhombic. The total energy is -110.30 eV for the cell shown. The density of states at the Fermi level comes out at 3.303 states/eV per cell.

=====

(5)
Material: CsMoN2
Method: DFT, SCAN
State: single point on PBEsol structure

abc: 6.1164 6.1164 6.1164
angles: 60.00 60.00 60.00
Element x y z (fractional)
Mo1 0.7500 0.7500 0.7500
Mo2 0.5000 0.5000 0.5000
N1 0.6250 0.1250 0.6250
N2 0.6250 0.6250 0.1250
N3 0.6250 0.6250 0.6250
N4 0.1250 0.6250 0.6250
Cs1 0.0000 0.0000 0.0000
Cs2 0.2500 0.2500 0.2500

## Properties
As for the crystal system: cubic. The total energy is -187.45 eV for the cell shown. The density of states at the Fermi level comes out at 2.535 states/eV per cell.

=====

(6)
Material: AgMo2P
Method: DFT, SCAN
State: single point on PBEsol structure

abc: 3.2330 4.6344 4.9456
angles: 118.50 109.08 90.00
Element x y z (fractional)
P1 0.4929 0.3781 0.9859
Mo1 0.7952 0.3462 0.5904
Mo2 0.9991 0.0199 0.9983
Ag1 0.2127 0.7558 0.4255

## Properties
Its formation energy is 0.24 eV per atom. As for the crystal system: monoclinic. The density of states at the Fermi level comes out at 1.597 states/eV per cell.